CoP2O6 | the Open Quantum Materials Database | PBE with a Hubbard U | optimized geometry; crystal system = monoclinic; distance to the lowest polymorph of the same formula = 0.000 eV/f.u.
1.0
5.8198 -4.1222 0.0000
5.8198 4.1222 0.0000
-4.7132 0.0000 8.6770
Co P O
4 8 24
Direct
0.0000 0.5000 0.5000
0.0553 0.9447 0.7500
0.5000 0.0000 0.0000
0.9447 0.0553 0.2500
0.2492 0.7240 0.0229
0.2760 0.7508 0.4771
0.2987 0.3071 0.7997
0.3071 0.2987 0.2997
0.6929 0.7013 0.7003
0.7013 0.6929 0.2003
0.7240 0.2492 0.5229
0.7508 0.2760 0.9771
0.0758 0.8410 0.0890
0.1090 0.2883 0.3167
0.1590 0.9242 0.4110
0.1911 0.3413 0.6474
0.1997 0.7070 0.5834
0.2156 0.4898 0.9348
0.2883 0.1090 0.8167
0.2930 0.8003 0.9166
0.3118 0.5380 0.3409
0.3413 0.1911 0.1474
0.4620 0.6882 0.1591
0.4898 0.2156 0.4348
0.5102 0.7844 0.5652
0.5380 0.3118 0.8409
0.6587 0.8089 0.8526
0.6882 0.4620 0.6591
0.7070 0.1997 0.0834
0.7117 0.8910 0.1833
0.7844 0.5102 0.0652
0.8003 0.2930 0.4166
0.8089 0.6587 0.3526
0.8410 0.0758 0.5890
0.8910 0.7117 0.6833
0.9242 0.1590 0.9110